BaPmPd: relaxed, GGA-PBE.

As for the density: 6.37 g cm⁻³. The value obtained for the relative energy among the computed polymorphs is 0 meV per atom. Its raw total energy is -50.00 eV per cell.

It has space group F-43m (No. 216), with a = 7.402 Å, b = 7.402 Å, c = 7.402 Å, α = 90.00°, β = 90.00° and γ = 90.00°. The distinct sites, in fractional coordinates, are Ba at (0.000, 0.000, 0.000), Pm at (0.000, 0.000, 0.500) and Pd at (0.250, 0.250, 0.250).


YGa2Hg: relaxed, GGA-PBE.

As for the density: 8.09 g cm⁻³. Its raw total energy is -55.53 eV per cell.

It has space group F-43m (No. 216), with a = 7.060 Å, b = 7.060 Å, c = 7.060 Å, α = 90.00°, β = 90.00° and γ = 90.00°. The distinct sites, in fractional coordinates, are Y at (0.000, 0.000, 0.000), Ga at (0.000, 0.000, 0.500), Ga at (0.250, 0.250, 0.250) and Hg at (0.250, 0.250, 0.750).


LiTaTl: relaxed, GGA-PBE.

As for the density: 9.40 g cm⁻³. The value obtained for the relative energy among the computed polymorphs is 218 meV per atom. Its raw total energy is -50.49 eV per cell.

It has space group F-43m (No. 216), with a = 6.521 Å, b = 6.521 Å, c = 6.521 Å, α = 90.00°, β = 90.00° and γ = 90.00°. The distinct sites, in fractional coordinates, are Li at (0.000, 0.000, 0.000), Ta at (0.250, 0.250, 0.250) and Tl at (0.000, 0.000, 0.500).


LiTaTcSb: relaxed, GGA-PBE.

As for the density: 10.34 g cm⁻³. The value obtained for the relative energy among the computed polymorphs is 562 meV per atom. Its raw total energy is -107.92 eV per cell.

It has space group F-43m (No. 216), with a = 6.397 Å, b = 6.397 Å, c = 6.397 Å, α = 90.00°, β = 90.00° and γ = 90.00°. The distinct sites, in fractional coordinates, are Li at (0.000, 0.000, 0.000), Ta at (0.250, 0.250, 0.750), Tc at (0.250, 0.250, 0.250) and Sb at (0.000, 0.000, 0.500).


TbAlGa: relaxed, GGA-PBE.

As for the density: 6.25 g cm⁻³. Its raw total energy is -49.85 eV per cell.

It has space group F-43m (No. 216), with a = 6.477 Å, b = 6.477 Å, c = 6.477 Å, α = 90.00°, β = 90.00° and γ = 90.00°. The distinct sites, in fractional coordinates, are Tb at (0.000, 0.000, 0.000), Al at (0.000, 0.000, 0.500) and Ga at (0.250, 0.250, 0.750).


YCuTcB: relaxed, GGA-PBE.

As for the density: 7.34 g cm⁻³. The value obtained for the relative energy among the computed polymorphs is 0 meV per atom. Its raw total energy is -97.15 eV per cell.

It has space group F-43m (No. 216), with a = 6.183 Å, b = 6.183 Å, c = 6.183 Å, α = 90.00°, β = 90.00° and γ = 90.00°. The distinct sites, in fractional coordinates, are Y at (0.000, 0.000, 0.000), Cu at (0.250, 0.250, 0.750), Tc at (0.250, 0.250, 0.250) and B at (0.000, 0.000, 0.500).


PaAlAs: relaxed, GGA-PBE.

As for the density: 7.17 g cm⁻³. The value obtained for the relative energy among the computed polymorphs is 132 meV per atom. Its raw total energy is -70.56 eV per cell.

It has space group F-43m (No. 216), with a = 6.756 Å, b = 6.756 Å, c = 6.756 Å, α = 90.00°, β = 90.00° and γ = 90.00°. The distinct sites, in fractional coordinates, are Pa at (0.000, 0.000, 0.000), Al at (0.250, 0.250, 0.750) and As at (0.250, 0.250, 0.250).


Mg2ReSiP4: relaxed, GGA-PBE.

As for the density: 3.69 g cm⁻³. Its raw total energy is -87.88 eV per cell.

It has space group I-4 (No. 82), with a = 5.728 Å, b = 5.728 Å, c = 10.618 Å, α = 90.00°, β = 90.00° and γ = 90.00°. The distinct sites, in fractional coordinates, are Mg at (0.000, 0.000, 0.000), Mg at (0.000, 0.500, 0.250), Re at (0.000, 0.000, 0.500), Si at (0.000, 0.500, 0.750) and P at (0.207, 0.749, 0.625).


Fe2Au: relaxed, GGA-PBE.

As for the density: 12.38 g cm⁻³. Its raw total energy is -155.97 eV per cell. The formation energy is 12.5 kJ per mole of atoms.

It has space group Fd-3m (No. 227, origin choice 2), with a = 6.920 Å, b = 6.920 Å, c = 6.920 Å, α = 90.00°, β = 90.00° and γ = 90.00°. The distinct sites, in fractional coordinates, are Fe at (0.000, 0.000, 0.000) and Au at (0.125, 0.125, 0.625).


SrAl2PdPt: relaxed, GGA-PBE.

As for the density: 7.32 g cm⁻³. Its raw total energy is -49.88 eV per cell.

It has space group P4/nmm (No. 129, origin choice 2), with a = 4.446 Å, b = 4.446 Å, c = 10.171 Å, α = 90.00°, β = 90.00° and γ = 90.00°. The distinct sites, in fractional coordinates, are Sr at (0.250, 0.250, 0.246), Al at (0.250, 0.250, 0.878), Al at (0.250, 0.750, 0.500), Pd at (0.250, 0.750, 0.000) and Pt at (0.250, 0.250, 0.629).


NdBiB: relaxed, GGA-PBE.

As for the density: 8.74 g cm⁻³. The value obtained for the relative energy among the computed polymorphs is 0 meV per atom. Its raw total energy is -44.22 eV per cell.

It has space group P-6m2 (No. 187), with a = 4.3560 Å, b = 4.3560 Å, c = 12.6291 Å, α = 90.00°, β = 90.00° and γ = 120.00°. The distinct sites, in fractional coordinates, are Nd at (0.0000, 0.0000, 0.0000), Nd at (0.0000, 0.0000, 0.3337), Bi at (0.3333, 0.6667, 0.1677), Bi at (0.6667, 0.3333, 0.5000), B at (0.3333, 0.6667, 0.5000) and B at (0.6667, 0.3333, 0.1635).


SrGdSi: relaxed, GGA-PBE.

As for the density: 4.82 g cm⁻³. Its raw total energy is -50.42 eV per cell.

It has space group F-43m (No. 216), with a = 7.219 Å, b = 7.219 Å, c = 7.219 Å, α = 90.00°, β = 90.00° and γ = 90.00°. The distinct sites, in fractional coordinates, are Sr at (0.000, 0.000, 0.000), Gd at (0.000, 0.000, 0.500) and Si at (0.250, 0.250, 0.750).